Entry from Alexandria: a geometry-optimized HgP2CCl structure (GGA-PBE). Values from VASP.

Properties
Volume, Å³ per atom: 22.549
Density, Mg/m³: 4.57
DOS at the Fermi energy, states/eV/f.u.: 3.40
Formation energy (no corrections), meV per atom: 966
Raw total energy, eV per atom: -3.472
SG: No. 123
ΔE to the lowest computed polymorph, eV/atom: 0.0000

Cell and atoms, written as Quantum ESPRESSO input:
```
&SYSTEM
  ibrav = 0, nat = 5, ntyp = 4
/
ATOMIC_SPECIES
P 30.97 P.upf
C 12.01 C.upf
Hg 200.59 Hg.upf
Cl 35.45 Cl.upf
CELL_PARAMETERS angstrom
-2.702 -2.449 -1.311
-1.048 -0.796 3.645
-4.985 5.610 -0.209
ATOMIC_POSITIONS angstrom
P -0.524 -0.398 1.822
P -1.351 -1.225 -0.656
C 0.000 0.000 0.000
Hg -4.367 1.182 1.062
Cl -2.492 2.805 -0.104
```

***

Entry from Alexandria: a geometry-optimized HgPCCl2 structure (GGA-PBE). Values from VASP.

Properties
Volume, Å³ per atom: 28.997
Density, Mg/m³: 3.60
DOS at the Fermi energy, states/eV/f.u.: 6.74
Formation energy (no corrections), meV per atom: 1856
Raw total energy, eV per atom: -1.870
SG: No. 123
ΔE to the lowest computed polymorph, eV/atom: 0.8827

Cell and atoms, written as Quantum ESPRESSO input:
```
&SYSTEM
  ibrav = 0, nat = 5, ntyp = 4
/
ATOMIC_SPECIES
P 30.97 P.upf
C 12.01 C.upf
Hg 200.59 Hg.upf
Cl 35.45 Cl.upf
CELL_PARAMETERS angstrom
-4.043 1.133 3.279
-3.047 -3.569 -2.523
1.592 -3.633 3.218
ATOMIC_POSITIONS angstrom
P 0.796 -1.817 1.609
C -2.749 -3.034 1.987
Hg 0.000 0.000 0.000
Cl -1.523 -1.785 -1.261
Cl -2.022 0.567 1.640
```

***

Entry from Alexandria: a geometry-optimized HgPdCCl2 structure (GGA-PBE). Values from VASP.

Properties
Volume, Å³ per atom: 29.089
Density, Mg/m³: 4.45
DOS at the Fermi energy, states/eV/f.u.: 5.70
Formation energy (no corrections), meV per atom: 1700
Raw total energy, eV per atom: -1.982
SG: No. 123

Cell and atoms, written as Quantum ESPRESSO input:
```
&SYSTEM
  ibrav = 0, nat = 5, ntyp = 4
/
ATOMIC_SPECIES
C 12.01 C.upf
Hg 200.59 Hg.upf
Pd 106.42 Pd.upf
Cl 35.45 Cl.upf
CELL_PARAMETERS angstrom
-0.994 1.168 -4.923
-5.329 0.406 1.173
0.615 5.007 1.063
ATOMIC_POSITIONS angstrom
C -2.854 3.290 -1.343
Hg 0.000 0.000 0.000
Pd -2.664 0.203 0.586
Cl 0.308 2.504 0.532
Cl -0.497 0.584 -2.461
```

***

Entry from Alexandria: a geometry-optimized Pm3HgCCl structure (GGA-PBE). Values from VASP.

Properties
Volume, Å³ per atom: 26.326
Density, Mg/m³: 7.18
DOS at the Fermi energy, states/eV/f.u.: 4.27
Formation energy (no corrections), meV per atom: -607
Raw total energy, eV per atom: -4.878
SG: No. 11

Cell and atoms, written as Quantum ESPRESSO input:
```
&SYSTEM
  ibrav = 0, nat = 12, ntyp = 4
/
ATOMIC_SPECIES
Pm 145.00 Pm.upf
Hg 200.59 Hg.upf
C 12.01 C.upf
Cl 35.45 Cl.upf
CELL_PARAMETERS angstrom
-1.766 -2.937 -1.652
4.723 -5.798 5.261
-6.915 0.855 5.873
ATOMIC_POSITIONS angstrom
Pm -0.207 -4.200 5.500
Pm 1.771 -6.877 3.764
Pm -0.244 -4.644 1.948
Pm -3.750 -3.680 3.983
Pm -3.713 -3.236 7.535
Pm -5.729 -1.003 5.719
Hg -2.714 -6.306 7.543
Hg -1.244 -1.575 1.940
C 1.632 -4.346 3.792
C -5.590 -3.534 5.690
Cl -3.958 -0.909 3.658
Cl 0.000 -6.972 5.825
```

***

Entry from Alexandria: a geometry-optimized Pr3HgCCl structure (GGA-PBE). Values from VASP.

Properties
Volume, Å³ per atom: 27.610
Density, Mg/m³: 6.72
DOS at the Fermi energy, states/eV/f.u.: 4.46
Formation energy (no corrections), meV per atom: -568
Raw total energy, eV per atom: -4.853
SG: No. 11

Cell and atoms, written as Quantum ESPRESSO input:
```
&SYSTEM
  ibrav = 0, nat = 12, ntyp = 4
/
ATOMIC_SPECIES
Pr 140.91 Pr.upf
Hg 200.59 Hg.upf
C 12.01 C.upf
Cl 35.45 Cl.upf
CELL_PARAMETERS angstrom
-0.465 2.917 2.496
6.848 -3.423 5.277
5.552 5.299 -5.159
ATOMIC_POSITIONS angstrom
Pr 6.732 0.674 1.965
Pr 5.924 -0.029 5.632
Pr 3.497 1.450 3.451
Pr 5.204 4.120 0.649
Pr 8.438 3.344 -0.837
Pr 6.012 4.822 -3.018
Hg 9.459 3.405 2.278
Hg 2.477 1.389 0.336
C 5.081 -0.733 3.302
C 6.855 5.527 -0.688
Cl 3.935 3.456 -1.808
Cl 8.001 1.338 4.422
```

***

Entry from Alexandria: a geometry-optimized HgCSCl2 structure (GGA-PBE). Values from VASP.

Properties
Volume, Å³ per atom: 27.712
Density, Mg/m³: 3.78
DOS at the Fermi energy, states/eV/f.u.: 4.47
Formation energy (no corrections), meV per atom: 1660
Raw total energy, eV per atom: -1.809
SG: No. 123
ΔE to the lowest computed polymorph, eV/atom: 0.6692

Cell and atoms, written as Quantum ESPRESSO input:
```
&SYSTEM
  ibrav = 0, nat = 5, ntyp = 4
/
ATOMIC_SPECIES
C 12.01 C.upf
S 32.06 S.upf
Hg 200.59 Hg.upf
Cl 35.45 Cl.upf
CELL_PARAMETERS angstrom
5.171 0.000 0.000
0.000 5.171 0.000
0.000 0.000 5.182
ATOMIC_POSITIONS angstrom
C 2.586 2.586 2.591
S 0.000 0.000 2.591
Hg 0.000 0.000 0.000
Cl 0.000 2.586 0.000
Cl 2.586 0.000 0.000
```